Arrangement A

VASP calculation (PBE) on a relaxed TaHg3Cl crystal.

It has space group Pm-3m (No. 221), with a = 5.3653 Å, b = 5.3653 Å, c = 5.3653 Å, α = 90.00°, β = 90.00° and γ = 90.00°. The distinct sites, in fractional coordinates, are Ta at (0.0000, 0.0000, 0.0000), Hg at (0.0000, 0.5000, 0.5000) and Cl at (0.5000, 0.5000, 0.5000).

The value obtained for the magnetic moment is 3.67 μB/f.u.


Arrangement B

VASP calculation (PBE) on a relaxed TaHg3Cl crystal.

It has space group Pm-3m (No. 221), with a = 5.4764 Å, b = 5.4764 Å, c = 5.4764 Å, α = 90.00°, β = 90.00° and γ = 90.00°. The distinct sites, in fractional coordinates, are Ta at (0.0000, 0.0000, 0.0000), Hg at (0.0000, 0.0000, 0.5000) and Cl at (0.5000, 0.5000, 0.5000).

The value obtained for the magnetic moment is 0.00 μB/f.u.


Quick one: least stable of them? arrangement A